P | DFT (SCAN) results for a crystal of Ta3Mo relaxed with PBEsol.

Structure (extended XYZ):
```
4
Lattice="-0.556 1.299 2.466 -4.065 -2.044 0.159 2.320 -4.477 1.745" Properties=species:S:1:pos:R:3 pbc="T T T"
Mo 0.000 0.000 0.000
Ta -0.410 -4.100 1.967
Ta -1.891 -1.122 2.404
Ta 0.882 -1.589 2.106
```

Results
Its symmetry is No. 10. The calculation puts the size of the total moment at 0.00 μB per cell.

***

Q | DFT (SCAN) results for a crystal of Ta3Mo relaxed with PBEsol.

Structure (extended XYZ):
```
4
Lattice="-1.702 2.657 0.648 -2.382 -2.299 3.175 3.081 1.199 3.180" Properties=species:S:1:pos:R:3 pbc="T T T"
Ta 0.689 1.928 1.914
Mo 0.000 0.000 0.000
Ta 0.350 -0.550 3.177
Ta -2.042 0.179 1.911
```

Results
Its symmetry is No. 123. The calculation puts the size of the total moment at 0.00 μB per cell.

***

Least stable = P

***

P | DFT (SCAN) results for a crystal of TaMo4 relaxed with PBEsol.

Structure (extended XYZ):
```
5
Lattice="2.747 0.000 0.000 0.000 4.446 0.000 -0.910 -2.223 6.420" Properties=species:S:1:pos:R:3 pbc="T T T"
Mo 0.015 0.000 3.839
Mo 0.911 2.223 5.110
Mo 0.927 0.000 1.310
Mo 1.823 2.223 2.581
Ta 0.000 2.223 0.000
```

Results
Its symmetry is No. 12. The calculation puts the size of the total moment at 0.00 μB per cell.

***

Q | DFT (SCAN) results for a crystal of TaMo4 relaxed with PBEsol.

Structure (extended XYZ):
```
5
Lattice="4.461 0.000 0.000 2.230 3.863 0.000 2.230 1.288 4.550" Properties=species:S:1:pos:R:3 pbc="T T T"
Ta 4.461 2.575 2.275
Mo 6.691 3.863 4.068
Mo 2.230 1.288 3.204
Mo 6.691 3.863 1.346
Mo 2.230 1.288 0.482
```

Results
Its symmetry is No. 166. The calculation puts the size of the total moment at 0.00 μB per cell.

***

R | DFT (SCAN) results for a crystal of TaMo4 relaxed with PBEsol.

Structure (extended XYZ):
```
5
Lattice="-0.051 -2.385 1.357 2.340 0.213 -1.419 3.693 5.939 8.736" Properties=species:S:1:pos:R:3 pbc="T T T"
Mo 3.844 3.856 6.918
Mo 1.943 1.949 3.496
Ta 0.000 0.000 0.000
Mo 4.039 1.818 5.178
Mo 2.138 -0.089 1.757
```

Results
Its symmetry is No. 69. The calculation puts the size of the total moment at 0.00 μB per cell.

***

S | DFT (SCAN) results for a crystal of TaMo4 relaxed with PBEsol.

Structure (extended XYZ):
```
5
Lattice="3.148 0.000 0.000 0.000 3.148 0.000 -1.574 -1.574 7.914" Properties=species:S:1:pos:R:3 pbc="T T T"
Ta 1.574 1.574 0.000
Mo 1.574 1.574 6.277
Mo 0.000 0.000 4.755
Mo 0.000 0.000 1.637
Mo 1.574 1.574 3.160
```

Results
Its symmetry is No. 139. The calculation puts the size of the total moment at 0.00 μB per cell.

***

Least stable = R

***

P | DFT (SCAN) results for a crystal of Ta2TcMo relaxed with PBEsol.

Structure (extended XYZ):
```
4
Lattice="-2.772 -0.173 0.315 0.565 -1.939 3.901 0.803 4.721 2.231" Properties=species:S:1:pos:R:3 pbc="T T T"
Ta -1.475 3.416 1.912
Ta -0.494 1.132 0.634
Tc -1.104 -1.056 2.108
Mo 0.684 1.391 3.066
```

Results
Its symmetry is No. 10. The calculation puts the size of the total moment at 0.00 μB per cell.

***

Q | DFT (SCAN) results for a crystal of Ta2TcMo relaxed with PBEsol.

Structure (extended XYZ):
```
4
Lattice="2.785 0.004 0.000 -0.979 2.608 0.000 0.000 0.000 8.857" Properties=species:S:1:pos:R:3 pbc="T T T"
Ta 0.000 0.000 0.056
Mo 0.903 1.306 2.296
Ta 0.903 1.306 6.542
Tc 0.000 0.000 4.392
```

Results
Its symmetry is No. 35. The calculation puts the size of the total moment at 0.00 μB per cell.

***

R | DFT (SCAN) results for a crystal of Ta2TcMo relaxed with PBEsol.

Structure (extended XYZ):
```
4
Lattice="-0.518 3.135 0.079 -0.523 0.024 -4.364 -4.489 -0.755 0.534" Properties=species:S:1:pos:R:3 pbc="T T T"
Mo -2.506 -0.366 -1.915
Ta 0.000 0.000 0.000
Ta -2.504 1.190 0.306
Tc -0.520 1.580 -2.142
```

Results
Its symmetry is No. 47. The calculation puts the size of the total moment at 0.00 μB per cell.

***

S | DFT (SCAN) results for a crystal of Ta2TcMo relaxed with PBEsol.

Structure (extended XYZ):
```
4
Lattice="-0.183 2.014 -2.442 -1.829 -2.064 -1.565 -5.182 2.645 2.569" Properties=species:S:1:pos:R:3 pbc="T T T"
Mo -3.597 1.297 -0.719
Ta -1.286 0.656 0.638
Tc -1.006 -0.025 -2.003
Ta -3.896 1.988 1.931
```

Results
Its symmetry is No. 123. The calculation puts the size of the total moment at 0.00 μB per cell.

***

Least stable = Q

***

P | DFT (SCAN) results for a crystal of Ta2TcMo relaxed with PBEsol.

Structure (extended XYZ):
```
4
Lattice="-0.220 -3.159 0.075 2.541 -0.263 -3.646 2.555 1.514 4.390" Properties=species:S:1:pos:R:3 pbc="T T T"
Mo 1.774 -1.679 1.358
Ta 3.090 -0.228 -0.547
Ta 0.030 -0.002 0.021
Tc 3.699 -0.196 2.593
```

Results
Its symmetry is No. 44. The calculation puts the size of the total moment at 0.00 μB per cell.

***

Q | DFT (SCAN) results for a crystal of Ta2TcMo relaxed with PBEsol.

Structure (extended XYZ):
```
4
Lattice="4.485 0.000 0.000 2.242 3.884 0.000 2.242 1.295 3.662" Properties=species:S:1:pos:R:3 pbc="T T T"
Mo 4.485 2.589 1.831
Ta 2.242 1.295 0.915
Ta 6.727 3.884 2.746
Tc 0.000 0.000 0.000
```

Results
Its symmetry is No. 225. The calculation puts the size of the total moment at 0.00 μB per cell.

***

Least stable = P

***

P | DFT (SCAN) results for a crystal of Ta2TlMo relaxed with PBEsol.

Structure (extended XYZ):
```
4
Lattice="-2.102 2.305 0.206 -2.633 -0.132 -1.680 -5.595 -3.531 6.138" Properties=species:S:1:pos:R:3 pbc="T T T"
Ta -2.468 -0.218 0.977
Tl -5.165 -0.679 2.332
Ta -7.862 -1.140 3.687
Mo 0.000 0.000 0.000
```

Results
Its symmetry is No. 166. The calculation puts the size of the total moment at 0.00 μB per cell.

***

Q | DFT (SCAN) results for a crystal of Ta2TlMo relaxed with PBEsol.

Structure (extended XYZ):
```
4
Lattice="-0.999 2.364 1.298 -3.966 -1.658 -0.031 0.986 -2.454 5.229" Properties=species:S:1:pos:R:3 pbc="T T T"
Mo -1.726 -1.529 4.644
Tl 0.495 -1.232 2.625
Ta 0.981 -2.443 5.206
Ta -2.250 -0.225 1.866
```

Results
Its symmetry is No. 25. The calculation puts the size of the total moment at 0.00 μB per cell.

***

Least stable = Q